The following is a PBE calculation of a geometry-optimized AcSmGaAg structure, from Alexandria via LeMat-Bulk.

a b c (Å): 5.4146 5.4146 5.4146
angles (deg): 60.00 60.00 60.00
Positions (direct):
Ag  0.2500  0.2500  0.2500
Ac  0.0000  0.0000  0.0000
Sm  0.5000  0.5000  0.5000
Ga  0.7500  0.7500  0.7500

Properties
calculated total energy	-16.14	eV per cell
symmetry	F-43m, No. 216
Fermi-level density of states	3.79	states/eV/cell